(1)
# CuAgPd

A relaxed structure of CuAgPd (PBE-GGA, Alexandria via LeMat-Bulk).

ΔE_f = 0.00 eV per atom
space-group type = No. 156
E above lowest polymorph = 28.3 meV/atom

Geometry as CIF:
```
data_CuAgPd
_chemical_formula_sum 'Cu1 Ag1 Pd1'
_cell_length_a 2.8131
_cell_length_b 2.8131
_cell_length_c 6.6601
_cell_angle_alpha 90.00
_cell_angle_beta 90.00
_cell_angle_gamma 120.00
_symmetry_space_group_name_H-M 'P 1'
_symmetry_Int_Tables_number 1
loop_
_symmetry_equiv_pos_as_xyz
'x,y,z'
loop_
_atom_site_label
_atom_site_type_symbol
_atom_site_fract_x
_atom_site_fract_y
_atom_site_fract_z
Cu1 Cu 0.6667 0.3333 0.3400
Ag1 Ag 0.0000 0.0000 0.0089
Pd1 Pd 0.3333 0.6667 0.6510
```

***

(2)
# TcMoSe2

A relaxed structure of TcMoSe2 (PBE-GGA, Alexandria via LeMat-Bulk).

raw formation energy = 0.10 eV per atom
space-group type = No. 8
E above lowest polymorph = 290.4 meV/atom

Geometry as CIF:
```
data_TcMoSe2
_chemical_formula_sum 'Tc1 Mo1 Se2'
_cell_length_a 5.0216
_cell_length_b 5.0216
_cell_length_c 4.6542
_cell_angle_alpha 79.42
_cell_angle_beta 79.42
_cell_angle_gamma 36.57
_symmetry_space_group_name_H-M 'P 1'
_symmetry_Int_Tables_number 1
loop_
_symmetry_equiv_pos_as_xyz
'x,y,z'
loop_
_atom_site_label
_atom_site_type_symbol
_atom_site_fract_x
_atom_site_fract_y
_atom_site_fract_z
Tc1 Tc 0.5097 0.5097 0.4879
Mo1 Mo 0.2475 0.2475 0.2549
Se1 Se 0.7501 0.7501 0.6697
Se2 Se 0.9928 0.9928 0.0875
```

***

(3)
# KU2AsS8

A relaxed structure of KU2AsS8 (PBE-GGA, Alexandria via LeMat-Bulk).

raw formation energy = -0.77 eV per atom
space-group type = No. 10

Geometry as CIF:
```
data_KU2AsS8
_chemical_formula_sum 'K1 U2 As1 S8'
_cell_length_a 6.3999
_cell_length_b 5.9007
_cell_length_c 8.2348
_cell_angle_alpha 89.98
_cell_angle_beta 89.98
_cell_angle_gamma 86.86
_symmetry_space_group_name_H-M 'P 1'
_symmetry_Int_Tables_number 1
loop_
_symmetry_equiv_pos_as_xyz
'x,y,z'
loop_
_atom_site_label
_atom_site_type_symbol
_atom_site_fract_x
_atom_site_fract_y
_atom_site_fract_z
S1 S 0.1724 0.7389 0.2111
S2 S 0.6435 0.7374 0.0000
S3 S 0.8276 0.2611 0.7889
S4 S 0.3565 0.2626 0.0000
S5 S 0.1726 0.7392 0.7889
S6 S 0.3843 0.2801 0.5001
S7 S 0.6157 0.7199 0.4999
S8 S 0.8274 0.2608 0.2111
U1 U 0.5001 0.5000 0.7543
U2 U 0.4999 0.5000 0.2457
K1 K 0.0000 0.0000 0.5000
As1 As 0.0000 0.0000 0.0000
```

***

Computed N(E_F), in the same sequence as the records: 0.79 3.05 0.30 states/eV per cell.